1:
Sm5Er2Mg: relaxed, PBE.

Unit cell a=6.2295 b=6.2295 c=17.5486 alpha=90.00 beta=90.00 gamma=130.60
Sites, in units of the cell vectors:
Sm (0.0328, 0.9672, 0.7500)
Sm (0.1471, 0.8529, 0.5377)
Sm (0.1471, 0.8529, 0.9623)
Sm (0.4490, 0.5510, 0.5925)
Sm (0.4490, 0.5510, 0.9075)
Sm (0.5510, 0.4490, 0.0925)
Sm (0.5510, 0.4490, 0.4075)
Sm (0.8529, 0.1471, 0.0377)
Sm (0.8529, 0.1471, 0.4623)
Sm (0.9672, 0.0328, 0.2500)
Er (0.2543, 0.7457, 0.1525)
Er (0.2543, 0.7457, 0.3475)
Er (0.7457, 0.2543, 0.6525)
Er (0.7457, 0.2543, 0.8475)
Mg (0.3197, 0.6803, 0.7500)
Mg (0.6803, 0.3197, 0.2500)

Values from the calculation:
DOS(E_F), states/eV per cell: 23.93
Crystal system: orthorhombic



2:
Sm5Er2Mg: relaxed, PBE.

Unit cell a=9.7053 b=14.4843 c=3.6167 alpha=90.00 beta=90.00 gamma=90.00
Sites, in units of the cell vectors:
Sm (0.0000, 0.0000, 0.0000)
Sm (0.2405, 0.3740, 0.5000)
Sm (0.2405, 0.6260, 0.5000)
Sm (0.2595, 0.1260, 0.5000)
Sm (0.2595, 0.8740, 0.5000)
Sm (0.5000, 0.5000, 0.0000)
Sm (0.7405, 0.1260, 0.5000)
Sm (0.7405, 0.8740, 0.5000)
Sm (0.7595, 0.3740, 0.5000)
Sm (0.7595, 0.6260, 0.5000)
Er (0.0000, 0.2424, 0.0000)
Er (0.0000, 0.7576, 0.0000)
Er (0.5000, 0.2576, 0.0000)
Er (0.5000, 0.7424, 0.0000)
Mg (0.0000, 0.5000, 0.0000)
Mg (0.5000, 0.0000, 0.0000)

Values from the calculation:
DOS(E_F), states/eV per cell: 21.28
Crystal system: orthorhombic



2 ends up most stable, edging out the next structure by 0.064 eV/atom.



1:
SmYErMg: relaxed, PBE.

Unit cell a=3.6245 b=3.6245 c=9.1248 alpha=90.00 beta=90.00 gamma=90.00
Sites, in units of the cell vectors:
Sm (0.0000, 0.0000, 0.0000)
Y (0.5000, 0.5000, 0.7251)
Er (0.5000, 0.5000, 0.2679)
Mg (0.0000, 0.0000, 0.4945)

Values from the calculation:
DOS(E_F), states/eV per cell: 4.82
Crystal system: tetragonal



2:
SmYErMg: relaxed, PBE.

Unit cell a=7.8170 b=7.8170 c=7.8170 alpha=90.00 beta=90.00 gamma=90.00
Sites, in units of the cell vectors:
Sm (0.0000, 0.0000, 0.0000)
Sm (0.0000, 0.5000, 0.5000)
Sm (0.5000, 0.0000, 0.5000)
Sm (0.5000, 0.5000, 0.0000)
Y (0.0000, 0.0000, 0.5000)
Y (0.0000, 0.5000, 0.0000)
Y (0.5000, 0.0000, 0.0000)
Y (0.5000, 0.5000, 0.5000)
Er (0.2500, 0.2500, 0.2500)
Er (0.2500, 0.7500, 0.7500)
Er (0.7500, 0.2500, 0.7500)
Er (0.7500, 0.7500, 0.2500)
Mg (0.2500, 0.2500, 0.7500)
Mg (0.2500, 0.7500, 0.2500)
Mg (0.7500, 0.2500, 0.2500)
Mg (0.7500, 0.7500, 0.7500)

Values from the calculation:
DOS(E_F), states/eV per cell: 20.62
Crystal system: cubic



1 ends up most stable, edging out the next structure by 0.063 eV/atom.



1:
ErMg5Sn6: relaxed, PBE.

Unit cell a=7.6357 b=7.6357 c=8.6911 alpha=90.00 beta=90.00 gamma=144.96
Sites, in units of the cell vectors:
Er (0.0000, 0.0000, 0.0000)
Mg (0.0000, 0.0000, 0.5000)
Mg (0.3321, 0.6679, 0.0000)
Mg (0.3335, 0.6665, 0.5000)
Mg (0.6665, 0.3335, 0.5000)
Mg (0.6679, 0.3321, 0.0000)
Sn (0.1673, 0.8327, 0.2525)
Sn (0.1673, 0.8327, 0.7475)
Sn (0.5000, 0.5000, 0.2583)
Sn (0.5000, 0.5000, 0.7417)
Sn (0.8327, 0.1673, 0.2525)
Sn (0.8327, 0.1673, 0.7475)

Values from the calculation:
DOS(E_F), states/eV per cell: 4.66
Crystal system: orthorhombic



2:
ErMg5Sn6: relaxed, PBE.

Unit cell a=6.9448 b=6.9448 c=6.3568 alpha=97.60 beta=97.60 gamma=94.60
Sites, in units of the cell vectors:
Er (0.0000, 0.0000, 0.0000)
Mg (0.1637, 0.8363, 0.5000)
Mg (0.3365, 0.6635, 0.0000)
Mg (0.5000, 0.5000, 0.5000)
Mg (0.6635, 0.3365, 0.0000)
Mg (0.8363, 0.1637, 0.5000)
Sn (0.0849, 0.4248, 0.2607)
Sn (0.2540, 0.2540, 0.7501)
Sn (0.4248, 0.0849, 0.2607)
Sn (0.5752, 0.9151, 0.7393)
Sn (0.7460, 0.7460, 0.2499)
Sn (0.9151, 0.5752, 0.7393)

Values from the calculation:
DOS(E_F), states/eV per cell: 5.37
Crystal system: monoclinic



1 ends up most stable, edging out the next structure by 0.028 eV/atom.



1:
SrEr2Mg: relaxed, PBE.

Unit cell a=3.5642 b=3.5642 c=36.9246 alpha=90.00 beta=90.00 gamma=120.00
Sites, in units of the cell vectors:
Sr (0.0000, 0.0000, 0.0000)
Sr (0.3333, 0.6667, 0.6667)
Sr (0.6667, 0.3333, 0.3333)
Er (0.0000, 0.0000, 0.0964)
Er (0.0000, 0.0000, 0.9036)
Er (0.3333, 0.6667, 0.5703)
Er (0.3333, 0.6667, 0.7630)
Er (0.6667, 0.3333, 0.2370)
Er (0.6667, 0.3333, 0.4297)
Mg (0.0000, 0.0000, 0.5000)
Mg (0.3333, 0.6667, 0.1667)
Mg (0.6667, 0.3333, 0.8333)

Values from the calculation:
DOS(E_F), states/eV per cell: 17.84
Crystal system: trigonal



2:
SrEr2Mg: relaxed, PBE.

Unit cell a=3.7847 b=3.7847 c=9.3289 alpha=90.00 beta=90.00 gamma=90.00
Sites, in units of the cell vectors:
Sr (0.0000, 0.0000, 0.0000)
Er (0.5000, 0.5000, 0.3087)
Er (0.5000, 0.5000, 0.6913)
Mg (0.0000, 0.0000, 0.5000)

Values from the calculation:
DOS(E_F), states/eV per cell: 5.43
Crystal system: tetragonal



2 ends up most stable, edging out the next structure by 0.196 eV/atom.



1:
Tb8Er6Mg: relaxed, PBE.

Unit cell a=9.3481 b=9.3481 c=6.2390 alpha=90.00 beta=90.00 gamma=120.00
Sites, in units of the cell vectors:
Tb (0.0388, 0.7688, 0.1853)
Tb (0.2312, 0.2700, 0.1853)
Tb (0.2700, 0.0388, 0.8147)
Tb (0.3333, 0.6667, 0.1828)
Tb (0.6667, 0.3333, 0.8172)
Tb (0.7300, 0.9612, 0.1853)
Tb (0.7688, 0.7300, 0.8147)
Tb (0.9612, 0.2312, 0.8147)
Er (0.0933, 0.6408, 0.6827)
Er (0.3592, 0.4525, 0.6827)
Er (0.4525, 0.0933, 0.3173)
Er (0.5475, 0.9067, 0.6827)
Er (0.6408, 0.5475, 0.3173)
Er (0.9067, 0.3592, 0.3173)
Mg (0.0000, 0.0000, 0.5000)

Values from the calculation:
DOS(E_F), states/eV per cell: 20.86
Crystal system: trigonal



2:
Tb8Er6Mg: relaxed, PBE.

Unit cell a=8.5172 b=8.5172 c=8.5172 alpha=63.37 beta=63.37 gamma=63.37
Sites, in units of the cell vectors:
Tb (0.0762, 0.0762, 0.0762)
Tb (0.2151, 0.6081, 0.2485)
Tb (0.2485, 0.2151, 0.6081)
Tb (0.3919, 0.7515, 0.7849)
Tb (0.6081, 0.2485, 0.2151)
Tb (0.7515, 0.7849, 0.3919)
Tb (0.7849, 0.3919, 0.7515)
Tb (0.9238, 0.9238, 0.9238)
Er (0.0468, 0.6037, 0.7359)
Er (0.2641, 0.9532, 0.3963)
Er (0.3963, 0.2641, 0.9532)
Er (0.6037, 0.7359, 0.0468)
Er (0.7359, 0.0468, 0.6037)
Er (0.9532, 0.3963, 0.2641)
Mg (0.5000, 0.5000, 0.5000)

Values from the calculation:
DOS(E_F), states/eV per cell: 21.74
Crystal system: trigonal



2 ends up most stable, edging out the next structure by 0.044 eV/atom.



1:
Tb7Er4Mg: relaxed, PBE.

Unit cell a=11.4144 b=11.4144 c=6.3332 alpha=101.85 beta=101.85 gamma=28.18
Sites, in units of the cell vectors:
Tb (0.0000, 0.0000, 0.0000)
Tb (0.1354, 0.1354, 0.4949)
Tb (0.2096, 0.2096, 0.0620)
Tb (0.4540, 0.4540, 0.6991)
Tb (0.5460, 0.5460, 0.3009)
Tb (0.7904, 0.7904, 0.9380)
Tb (0.8646, 0.8646, 0.5051)
Er (0.2916, 0.2916, 0.6108)
Er (0.3827, 0.3827, 0.1599)
Er (0.6173, 0.6173, 0.8401)
Er (0.7084, 0.7084, 0.3892)
Mg (0.0000, 0.0000, 0.5000)

Values from the calculation:
DOS(E_F), states/eV per cell: 18.38
Crystal system: monoclinic



2:
Tb7Er4Mg: relaxed, PBE.

Unit cell a=3.5343 b=3.5343 c=34.2554 alpha=90.00 beta=90.00 gamma=120.00
Sites, in units of the cell vectors:
Tb (0.0000, 0.0000, 0.0000)
Tb (0.0000, 0.0000, 0.2532)
Tb (0.0000, 0.0000, 0.7468)
Tb (0.3333, 0.6667, 0.1681)
Tb (0.3333, 0.6667, 0.4207)
Tb (0.6667, 0.3333, 0.5793)
Tb (0.6667, 0.3333, 0.8319)
Er (0.3333, 0.6667, 0.6626)
Er (0.3333, 0.6667, 0.9159)
Er (0.6667, 0.3333, 0.0841)
Er (0.6667, 0.3333, 0.3374)
Mg (0.0000, 0.0000, 0.5000)

Values from the calculation:
DOS(E_F), states/eV per cell: 16.37
Crystal system: trigonal



2 ends up most stable, edging out the next structure by 0.096 eV/atom.



1:
Tb5Er2Mg: relaxed, PBE.

Unit cell a=3.5609 b=8.6076 c=16.3826 alpha=80.88 beta=83.76 gamma=89.94
Sites, in units of the cell vectors:
Tb (0.0474, 0.4897, 0.4076)
Tb (0.0774, 0.1318, 0.3470)
Tb (0.1292, 0.7822, 0.2433)
Tb (0.2059, 0.4677, 0.0892)
Tb (0.3257, 0.8814, 0.8475)
Tb (0.6743, 0.1186, 0.1525)
Tb (0.7941, 0.5323, 0.9108)
Tb (0.8708, 0.2178, 0.7567)
Tb (0.9226, 0.8682, 0.6530)
Tb (0.9526, 0.5103, 0.5924)
Er (0.2704, 0.1783, 0.9586)
Er (0.4803, 0.1907, 0.5399)
Er (0.5197, 0.8093, 0.4601)
Er (0.7296, 0.8217, 0.0414)
Mg (0.3750, 0.5585, 0.7481)
Mg (0.6250, 0.4415, 0.2519)

Values from the calculation:
DOS(E_F), states/eV per cell: 21.78
Crystal system: triclinic



2:
Tb5Er2Mg: relaxed, PBE.

Unit cell a=8.1061 b=8.1061 c=7.4991 alpha=90.00 beta=90.00 gamma=90.00
Sites, in units of the cell vectors:
Tb (0.0000, 0.0000, 0.0000)
Tb (0.2273, 0.2273, 0.3025)
Tb (0.2273, 0.7727, 0.3025)
Tb (0.2727, 0.2727, 0.8025)
Tb (0.2727, 0.7273, 0.8025)
Tb (0.5000, 0.5000, 0.5000)
Tb (0.7273, 0.2727, 0.8025)
Tb (0.7273, 0.7273, 0.8025)
Tb (0.7727, 0.2273, 0.3025)
Tb (0.7727, 0.7727, 0.3025)
Er (0.0000, 0.5000, 0.0583)
Er (0.0000, 0.5000, 0.5583)
Er (0.5000, 0.0000, 0.0583)
Er (0.5000, 0.0000, 0.5583)
Mg (0.0000, 0.0000, 0.5740)
Mg (0.5000, 0.5000, 0.0740)

Values from the calculation:
DOS(E_F), states/eV per cell: 17.05
Crystal system: tetragonal



1 ends up most stable, edging out the next structure by 0.006 eV/atom.



1:
Tb2Er8Mg: relaxed, PBE.

Unit cell a=9.9722 b=9.9722 c=6.3681 alpha=94.44 beta=94.44 gamma=32.01
Sites, in units of the cell vectors:
Tb (0.2427, 0.2427, 0.3341)
Tb (0.7573, 0.7573, 0.6659)
Er (0.0458, 0.0458, 0.2631)
Er (0.1522, 0.1522, 0.8103)
Er (0.3390, 0.3390, 0.8742)
Er (0.4210, 0.4210, 0.4045)
Er (0.5790, 0.5790, 0.5955)
Er (0.6610, 0.6610, 0.1258)
Er (0.8478, 0.8478, 0.1897)
Er (0.9542, 0.9542, 0.7369)
Mg (0.5000, 0.5000, 0.0000)

Values from the calculation:
DOS(E_F), states/eV per cell: 16.98
Crystal system: monoclinic



2:
Tb2Er8Mg: relaxed, PBE.

Unit cell a=9.6864 b=9.6864 c=9.6864 alpha=147.28 beta=135.05 gamma=56.69
Sites, in units of the cell vectors:
Tb (0.1935, 0.1935, 0.0000)
Tb (0.8065, 0.8065, 0.0000)
Er (0.0959, 0.3618, 0.7341)
Er (0.2445, 0.0000, 0.2445)
Er (0.3196, 0.8196, 0.5000)
Er (0.3723, 0.6382, 0.7341)
Er (0.6277, 0.3618, 0.2659)
Er (0.6804, 0.1804, 0.5000)
Er (0.7555, 0.0000, 0.7555)
Er (0.9041, 0.6382, 0.2659)
Mg (0.5000, 0.5000, 0.0000)

Values from the calculation:
DOS(E_F), states/eV per cell: 18.12
Crystal system: orthorhombic



1 ends up most stable, edging out the next structure by 0.072 eV/atom.